(1)
# Ir2CF2

Ir2CF2 after structural relaxation (PBE, Alexandria via LeMat-Bulk).

Summary:
* D(E_F): 0.77 states/eV/atom
* E_tot: -4.64 eV per atom
* crystal system: tetragonal
* formation energy from raw total energies: 1501 meV per atom

a b c (Å): 7.2266 7.2266 2.4359
angles (deg): 90.00 90.00 90.00
With the nearest neighbours (Å) after each atom.
Atoms (fractional coordinates):
C: 0.0000 0.0000 0.0000  2 C 2.44
C: 0.5000 0.5000 0.0000  2 C 2.44
Ir: 0.2129 0.7129 0.5000  2 F 2.18, 2 Ir 2.44
Ir: 0.7129 0.7871 0.5000  2 F 2.18, 2 Ir 2.44
Ir: 0.7871 0.2871 0.5000  2 F 2.18, 2 Ir 2.44
Ir: 0.2871 0.2129 0.5000  2 F 2.18, 2 Ir 2.44
F: 0.3904 0.8904 0.0000  2 Ir 2.18, 3 F 2.24-2.44
F: 0.8904 0.6096 0.0000  2 Ir 2.18, 3 F 2.24-2.44
F: 0.6096 0.1096 0.0000  2 Ir 2.18, 3 F 2.24-2.44
F: 0.1096 0.3904 0.0000  2 Ir 2.18, 3 F 2.24-2.44


(2)
# IrCF3

IrCF3 after structural relaxation (PBE, Alexandria via LeMat-Bulk).

Summary:
* D(E_F): 2.42 states/eV/atom
* E_tot: -4.01 eV per atom
* crystal system: cubic
* formation energy from raw total energies: 731 meV per atom

a b c (Å): 4.1208 4.1208 4.1208
angles (deg): 90.00 90.00 90.00
With the nearest neighbours (Å) after each atom.
Atoms (fractional coordinates):
C: 0.5000 0.5000 0.5000  12 F 2.91
Ir: 0.0000 0.0000 0.0000  6 F 2.06
F: 0.0000 0.5000 0.0000  2 Ir 2.06
F: 0.0000 0.0000 0.5000  2 Ir 2.06
F: 0.5000 0.0000 0.0000  2 Ir 2.06


(3)
# Ir2CF2

Ir2CF2 after structural relaxation (PBE, Alexandria via LeMat-Bulk).

Summary:
* D(E_F): 1.27 states/eV/atom
* E_tot: -4.58 eV per atom
* crystal system: tetragonal
* formation energy from raw total energies: 1554 meV per atom

a b c (Å): 4.2112 4.2112 4.5481
angles (deg): 62.42 62.42 90.00
With the nearest neighbours (Å) after each atom.
Atoms (fractional coordinates):
C: 0.0000 0.0000 0.0000  2 F 2.41
Ir: 0.7500 0.2500 0.5000  4 F 2.22
Ir: 0.2500 0.7500 0.5000  4 F 2.22
F: 0.3512 0.3512 0.2976  1 F 2.05, 4 Ir 2.22
F: 0.6488 0.6488 0.7024  1 F 2.05, 4 Ir 2.22


(4)
# Ir3CF

Ir3CF after structural relaxation (PBE, Alexandria via LeMat-Bulk).

Summary:
* D(E_F): 1.33 states/eV/atom
* E_tot: -6.82 eV per atom
* crystal system: cubic
* formation energy from raw total energies: 715 meV per atom

a b c (Å): 4.0623 4.0623 4.0623
angles (deg): 90.00 90.00 90.00
With the nearest neighbours (Å) after each atom.
Atoms (fractional coordinates):
C: 0.0000 0.0000 0.0000  6 Ir 2.03
Ir: 0.0000 0.5000 0.0000  2 C 2.03
Ir: 0.0000 0.0000 0.5000  2 C 2.03
Ir: 0.5000 0.0000 0.0000  2 C 2.03
F: 0.5000 0.5000 0.5000  12 Ir 2.87


(5)
# IrC3F

IrC3F after structural relaxation (PBE, Alexandria via LeMat-Bulk).

Summary:
* D(E_F): 0.45 states/eV/atom
* E_tot: -4.57 eV per atom
* crystal system: cubic
* formation energy from raw total energies: 3111 meV per atom

a b c (Å): 3.6468 3.6468 3.6468
angles (deg): 90.00 90.00 90.00
With the nearest neighbours (Å) after each atom.
Atoms (fractional coordinates):
C: 0.0000 0.5000 0.0000  2 F 1.82
C: 0.0000 0.0000 0.5000  2 F 1.82
C: 0.5000 0.0000 0.0000  2 F 1.82
Ir: 0.5000 0.5000 0.5000  12 C 2.58
F: 0.0000 0.0000 0.0000  6 C 1.82


(6)
# IrC3F

IrC3F after structural relaxation (PBE, Alexandria via LeMat-Bulk).

Summary:
* D(E_F): 0.38 states/eV/atom
* E_tot: -5.90 eV per atom
* crystal system: cubic
* formation energy from raw total energies: 1783 meV per atom

a b c (Å): 3.9520 3.9520 3.9520
angles (deg): 90.00 90.00 90.00
With the nearest neighbours (Å) after each atom.
Atoms (fractional coordinates):
C: 0.0000 0.5000 0.0000  2 Ir 1.98
C: 0.0000 0.0000 0.5000  2 Ir 1.98
C: 0.5000 0.0000 0.0000  2 Ir 1.98
Ir: 0.0000 0.0000 0.0000  6 C 1.98
F: 0.5000 0.5000 0.5000  12 C 2.79


(7)
# LiIr2CF

LiIr2CF after structural relaxation (PBE, Alexandria via LeMat-Bulk).

Summary:
* D(E_F): 0.81 states/eV/atom
* E_tot: -4.33 eV per atom
* crystal system: tetragonal
* formation energy from raw total energies: 1818 meV per atom

a b c (Å): 4.2067 3.4226 4.2067
angles (deg): 90.00 90.00 90.00
With the nearest neighbours (Å) after each atom.
Atoms (fractional coordinates):
C: 0.0000 0.5000 0.0000  2 Li 1.71
Ir: 0.0000 0.0000 0.5000  2 Li 2.10
Ir: 0.5000 0.0000 0.0000  2 Li 2.10
Li: 0.0000 0.0000 0.0000  2 C 1.71
F: 0.5000 0.5000 0.5000  8 Ir 2.71, 4 C 2.97


(8)
# IrCN2F

IrCN2F after structural relaxation (PBE, Alexandria via LeMat-Bulk).

Summary:
* D(E_F): 0.69 states/eV/atom
* E_tot: -5.42 eV per atom
* crystal system: tetragonal
* formation energy from raw total energies: 1899 meV per atom

a b c (Å): 3.8126 3.8126 4.1819
angles (deg): 90.00 90.00 90.00
With the nearest neighbours (Å) after each atom.
Atoms (fractional coordinates):
N: 0.0000 0.5000 0.0000  2 Ir 1.91
N: 0.5000 0.0000 0.0000  2 Ir 1.91
Ir: 0.0000 0.0000 0.0000  4 N 1.91, 2 F 2.09
C: 0.5000 0.5000 0.5000  4 F 2.70, 8 N 2.83
F: 0.0000 0.0000 0.5000  2 Ir 2.09


(9)
# IrCN2F

IrCN2F after structural relaxation (PBE, Alexandria via LeMat-Bulk).

Summary:
* D(E_F): 0.65 states/eV/atom
* E_tot: -5.25 eV per atom
* crystal system: tetragonal
* formation energy from raw total energies: 2072 meV per atom

a b c (Å): 3.6469 3.6469 3.1623
angles (deg): 90.00 90.00 90.00
With the nearest neighbours (Å) after each atom.
Atoms (fractional coordinates):
N: 0.0000 0.5000 0.0000  2 C 1.82
N: 0.5000 0.0000 0.0000  2 C 1.82
Ir: 0.5000 0.5000 0.5000  8 N 2.41, 4 F 2.58
C: 0.0000 0.0000 0.0000  2 F 1.58
F: 0.0000 0.0000 0.5000  2 C 1.58


(10)
# IrCOF2

IrCOF2 after structural relaxation (PBE, Alexandria via LeMat-Bulk).

Summary:
* D(E_F): 0.46 states/eV/atom
* E_tot: -4.56 eV per atom
* crystal system: tetragonal
* formation energy from raw total energies: 798 meV per atom

a b c (Å): 4.7076 4.7076 2.4576
angles (deg): 90.00 90.00 90.00
With the nearest neighbours (Å) after each atom.
Atoms (fractional coordinates):
C: 0.0000 0.0000 0.0000  2 O 1.23
Ir: 0.5000 0.5000 0.5000  2 Ir 2.46, 8 F 2.66
O: 0.0000 0.0000 0.5000  2 C 1.23
F: 0.0000 0.5000 0.0000  2 C 2.35, 2 F 2.46
F: 0.5000 0.0000 0.0000  2 C 2.35, 2 F 2.46


(11)
# IrCOF2

IrCOF2 after structural relaxation (PBE, Alexandria via LeMat-Bulk).

Summary:
* D(E_F): 0.96 states/eV/atom
* E_tot: -4.60 eV per atom
* crystal system: tetragonal
* formation energy from raw total energies: 752 meV per atom

a b c (Å): 4.2973 4.2973 3.6764
angles (deg): 90.00 90.00 90.00
With the nearest neighbours (Å) after each atom.
Atoms (fractional coordinates):
C: 0.5000 0.5000 0.5000  8 F 2.83, 4 O 3.04
Ir: 0.0000 0.0000 0.0000  2 O 1.84
O: 0.0000 0.0000 0.5000  2 Ir 1.84
F: 0.0000 0.5000 0.0000  2 Ir 2.15
F: 0.5000 0.0000 0.0000  2 Ir 2.15


(12)
# IrCO2F

IrCO2F after structural relaxation (PBE, Alexandria via LeMat-Bulk).

Summary:
* D(E_F): 0.91 states/eV/atom
* E_tot: -4.64 eV per atom
* crystal system: tetragonal
* formation energy from raw total energies: 1335 meV per atom

a b c (Å): 3.7534 3.7534 3.2985
angles (deg): 90.00 90.00 90.00
With the nearest neighbours (Å) after each atom.
Atoms (fractional coordinates):
C: 0.0000 0.0000 0.0000  2 F 1.65
Ir: 0.5000 0.5000 0.5000  8 O 2.50, 4 F 2.65
O: 0.0000 0.5000 0.0000  2 C 1.88
O: 0.5000 0.0000 0.0000  2 C 1.88
F: 0.0000 0.0000 0.5000  2 C 1.65